[1]
# PBE-GGA Li2PmInBr6, relaxed
data_Li2PmInBr6
_chemical_formula_sum 'Li2 Pm1 In1 Br6'
_space_group_name_H-M_alt 'P 1'
_space_group_IT_number 1
_space_group_name_Hall 'P 1'
_cell_length_a 7.347
_cell_length_b 7.345
_cell_length_c 7.888
_cell_angle_alpha 62.24
_cell_angle_beta 62.23
_cell_angle_gamma 59.98
loop_
_atom_site_label
_atom_site_type_symbol
_atom_site_fract_x
_atom_site_fract_y
_atom_site_fract_z
Br1 Br 0.338 0.743 0.750
Li1 Li 0.515 0.515 0.454
In1 In 0.802 0.802 0.594
Br2 Br 0.169 0.339 0.750
Pm1 Pm 0.320 0.320 0.040
Br3 Br 0.606 0.256 0.236
Br4 Br 0.743 0.169 0.750
Li2 Li 0.010 0.010 0.971
Br5 Br 0.902 0.606 0.236
Br6 Br 0.256 0.902 0.236
# Density (g cm⁻³): 4.02
# N(E_F) (states/eV/f.u.): 0.00
# ΔE_f (raw) (eV/atom): -1.4674

=====

[2]
# PBE-GGA Sc3GePb, relaxed
data_Sc3GePb
_chemical_formula_sum 'Sc3 Ge1 Pb1'
_space_group_name_H-M_alt 'P 1'
_space_group_IT_number 1
_space_group_name_Hall 'P 1'
_cell_length_a 5.354
_cell_length_b 5.354
_cell_length_c 5.354
_cell_angle_alpha 90.00
_cell_angle_beta 90.00
_cell_angle_gamma 90.00
loop_
_atom_site_label
_atom_site_type_symbol
_atom_site_fract_x
_atom_site_fract_y
_atom_site_fract_z
Pb1 Pb 0.000 0.000 0.000
Ge1 Ge 0.500 0.500 0.500
Sc1 Sc 0.500 0.000 0.000
Sc2 Sc 0.000 0.000 0.500
Sc3 Sc 0.000 0.500 0.000
# Density (g cm⁻³): 4.49
# E_tot (eV per atom): -5.010
# N(E_F) (states/eV/f.u.): 5.66

=====

[3]
# PBE-GGA Pr3P4Rh4, relaxed
data_Pr3P4Rh4
_chemical_formula_sum 'Pr3 P4 Rh4'
_space_group_name_H-M_alt 'P 1'
_space_group_IT_number 1
_space_group_name_Hall 'P 1'
_cell_length_a 4.049
_cell_length_b 4.108
_cell_length_c 12.512
_cell_angle_alpha 80.56
_cell_angle_beta 80.73
_cell_angle_gamma 89.98
loop_
_atom_site_label
_atom_site_type_symbol
_atom_site_fract_x
_atom_site_fract_y
_atom_site_fract_z
Rh1 Rh 0.596 0.097 0.807
P1 P 0.693 0.194 0.613
Pr1 Pr 0.146 0.646 0.709
Pr2 Pr 0.000 0.000 0.000
Rh2 Rh 0.404 0.903 0.193
P2 P 0.307 0.806 0.387
Rh3 Rh 0.248 0.248 0.505
Pr3 Pr 0.854 0.354 0.291
P3 P 0.551 0.549 0.902
P4 P 0.449 0.451 0.098
Rh4 Rh 0.752 0.752 0.495
# Density (g cm⁻³): 7.86
# E_tot (eV per atom): -7.126
# N(E_F) (states/eV/f.u.): 5.99

=====

[4]
# PBE-GGA BaTaMnSe6, relaxed
data_BaTaMnSe6
_chemical_formula_sum 'Ba1 Ta1 Mn1 Se6'
_space_group_name_H-M_alt 'P 1'
_space_group_IT_number 1
_space_group_name_Hall 'P 1'
_cell_length_a 6.690
_cell_length_b 6.021
_cell_length_c 7.183
_cell_angle_alpha 75.78
_cell_angle_beta 84.72
_cell_angle_gamma 63.80
loop_
_atom_site_label
_atom_site_type_symbol
_atom_site_fract_x
_atom_site_fract_y
_atom_site_fract_z
Se1 Se 0.994 0.522 0.277
Se2 Se 0.348 0.922 0.690
Se3 Se 0.485 0.587 0.250
Se4 Se 0.516 0.081 0.257
Se5 Se 0.016 0.578 0.709
Mn1 Mn 0.316 0.335 0.499
Ta1 Ta 0.681 0.631 0.535
Se6 Se 0.636 0.257 0.713
Ba1 Ba 0.008 0.088 0.070
# Density (g cm⁻³): 5.59
# N(E_F) (states/eV/f.u.): 0.84
# ΔE_f (raw) (eV/atom): -0.8144

=====

[5]
# PBE-GGA PmGaSb2, relaxed
data_PmGaSb2
_chemical_formula_sum 'Pm1 Ga1 Sb2'
_space_group_name_H-M_alt 'P 1'
_space_group_IT_number 1
_space_group_name_Hall 'P 1'
_cell_length_a 4.932
_cell_length_b 4.932
_cell_length_c 8.464
_cell_angle_alpha 73.06
_cell_angle_beta 73.06
_cell_angle_gamma 60.00
loop_
_atom_site_label
_atom_site_type_symbol
_atom_site_fract_x
_atom_site_fract_y
_atom_site_fract_z
Sb1 Sb 0.895 0.895 0.314
Sb2 Sb 0.105 0.105 0.686
Ga1 Ga 0.000 0.000 0.000
Pm1 Pm 0.500 0.500 0.500
# Density (g cm⁻³): 4.53
# N(E_F) (states/eV/f.u.): 0.31
# ΔE_f (raw) (eV/atom): -0.1681

=====

[6]
# PBE-GGA ErTmLuMn, relaxed
data_ErTmLuMn
_chemical_formula_sum 'Er1 Tm1 Lu1 Mn1'
_space_group_name_H-M_alt 'P 1'
_space_group_IT_number 1
_space_group_name_Hall 'P 1'
_cell_length_a 5.259
_cell_length_b 5.259
_cell_length_c 5.259
_cell_angle_alpha 60.00
_cell_angle_beta 60.00
_cell_angle_gamma 60.00
loop_
_atom_site_label
_atom_site_type_symbol
_atom_site_fract_x
_atom_site_fract_y
_atom_site_fract_z
Tm1 Tm 0.750 0.750 0.750
Er1 Er 0.250 0.250 0.250
Lu1 Lu 0.500 0.500 0.500
Mn1 Mn 0.000 0.000 0.000
# Density (g cm⁻³): 9.14
# E_tot (eV per atom): -5.413
# N(E_F) (states/eV/f.u.): 5.24

=====

[7]
# PBE-GGA NaHIr, relaxed
data_NaHIr
_chemical_formula_sum 'Na1 H1 Ir1'
_space_group_name_H-M_alt 'P 1'
_space_group_IT_number 1
_space_group_name_Hall 'P 1'
_cell_length_a 2.769
_cell_length_b 2.769
_cell_length_c 4.856
_cell_angle_alpha 90.00
_cell_angle_beta 90.00
_cell_angle_gamma 90.00
loop_
_atom_site_label
_atom_site_type_symbol
_atom_site_fract_x
_atom_site_fract_y
_atom_site_fract_z
Na1 Na 0.000 0.000 0.000
Ir1 Ir 0.500 0.500 0.500
H1 H 0.000 0.000 0.500
# Density (g cm⁻³): 9.65
# E_tot (eV per atom): -4.369
# N(E_F) (states/eV/f.u.): 1.76

=====

[8]
# PBE-GGA Ho3Er, relaxed
data_Ho3Er
_chemical_formula_sum 'Ho6 Er2'
_space_group_name_H-M_alt 'P 1'
_space_group_IT_number 1
_space_group_name_Hall 'P 1'
_cell_length_a 7.166
_cell_length_b 7.166
_cell_length_c 5.584
_cell_angle_alpha 90.00
_cell_angle_beta 90.00
_cell_angle_gamma 120.00
loop_
_atom_site_label
_atom_site_type_symbol
_atom_site_fract_x
_atom_site_fract_y
_atom_site_fract_z
Ho1 Ho 0.833 0.666 0.750
Er1 Er 0.333 0.667 0.750
Ho2 Ho 0.167 0.833 0.250
Ho3 Ho 0.666 0.833 0.250
Ho4 Ho 0.334 0.167 0.750
Er2 Er 0.667 0.333 0.250
Ho5 Ho 0.833 0.167 0.750
Ho6 Ho 0.167 0.334 0.250
# Density (g cm⁻³): 8.85
# E_tot (eV per atom): -4.569
# N(E_F) (states/eV/f.u.): 8.25